Entry 1:
RbTb2MnTe4 | PBE-GGA | optimized geometry

a b c (Å): 4.429 8.040 15.570
angles (deg): 90.00 90.00 105.99
Site moments in Bohr magnetons follow the coordinates.
Element x y z (fractional)
Te (0.736, 0.471, 0.609)  0.03
Te (0.736, 0.471, 0.891)  0.03
Te (0.000, 0.000, 0.500)  0.01
Te (0.264, 0.529, 0.391)  0.03
Te (0.434, 0.869, 0.750)  0.03
Te (0.264, 0.529, 0.109)  0.03
Te (0.000, 0.000, 0.000)  0.01
Te (0.566, 0.131, 0.250)  0.03
Tb (0.369, 0.739, 0.562)  -0.06
Tb (0.631, 0.261, 0.062)  -0.06
Tb (0.631, 0.261, 0.438)  -0.06
Tb (0.369, 0.739, 0.938)  -0.06
Rb (0.887, 0.775, 0.250)  0.00
Rb (0.113, 0.225, 0.750)  0.00
Mn (0.834, 0.668, 0.750)  3.81
Mn (0.166, 0.332, 0.250)  3.81

Computed properties:
symmetry: Cmcm (63)
uncorrected formation energy: -1.069 eV/atom

=====

Entry 2:
PuUAu4 | PBE-GGA | optimized geometry

a b c (Å): 3.040 4.895 8.493
angles (deg): 90.00 89.99 90.00
Site moments in Bohr magnetons follow the coordinates.
Element x y z (fractional)
Au (0.000, 0.000, 0.668)  0.00
Au (0.999, 0.500, 0.834)  0.01
Au (0.000, 0.000, 0.332)  0.00
Au (0.001, 0.500, 0.166)  0.01
U (0.500, 0.000, 0.000)  2.60
Pu (0.500, 0.500, 0.500)  5.41

Computed properties:
energy of formation from the pure elements: -0.36 eV per atom
symmetry: Pmmm (47)

=====

Entry 3:
CoBH3 | PBE-GGA | optimized geometry

a b c (Å): 3.009 3.009 3.009
angles (deg): 90.00 90.00 90.00
Site moments in Bohr magnetons follow the coordinates.
Element x y z (fractional)
H (0.000, 0.000, 0.500)  0.04
H (0.500, 0.000, 0.000)  0.01
H (0.000, 0.500, 0.000)  0.03
B (0.000, 0.000, 0.000)  -0.01
Co (0.500, 0.500, 0.500)  1.52

Computed properties:
symmetry: Pm-3m (221)
electronic total energy: -19.545 eV per cell

=====

Entry 4:
La2Hf2Pb | PBE-GGA | optimized geometry

a b c (Å): 7.781 7.781 4.800
angles (deg): 90.00 90.00 90.00
Element x y z (fractional)
La (0.169, 0.669, 0.500)
La (0.669, 0.831, 0.500)
La (0.831, 0.331, 0.500)
La (0.331, 0.169, 0.500)
Pb (0.500, 0.500, 0.000)
Pb (0.000, 0.000, 0.000)
Hf (0.633, 0.133, 0.000)
Hf (0.867, 0.633, 0.000)
Hf (0.133, 0.367, 0.000)
Hf (0.367, 0.867, 0.000)

Computed properties:
energy of formation from the pure elements: 0.04 eV per atom
symmetry: P4/mbm (127)

=====

Entry 5:
KTcCl2 | PBE-GGA | optimized geometry

a b c (Å): 5.779 5.779 8.090
angles (deg): 69.08 69.08 90.00
Site moments in Bohr magnetons follow the coordinates.
Element x y z (fractional)
Cl (0.875, 0.984, 0.750)  0.04
Cl (0.375, 0.266, 0.750)  0.04
Cl (0.016, 0.625, 0.250)  0.03
Cl (0.734, 0.125, 0.250)  0.04
Tc (0.750, 0.250, 0.500)  1.55
Tc (0.000, 0.000, 0.000)  1.55
K (0.500, 0.500, 0.000)  0.00
K (0.250, 0.750, 0.500)  0.00

Computed properties:
symmetry: I-42d (122)
uncorrected formation energy: -0.228 eV/atom

=====

Entry 6:
CaOsCl2 | PBE-GGA | optimized geometry

a b c (Å): 11.190 11.190 11.190
angles (deg): 17.68 17.68 17.68
Site moments in Bohr magnetons follow the coordinates.
Element x y z (fractional)
Ca (0.750, 0.750, 0.750)  0.00
Os (0.250, 0.250, 0.250)  2.63
Cl (0.469, 0.469, 0.469)  0.00
Cl (0.031, 0.031, 0.031)  0.00

Computed properties:
symmetry: R-3m (166)
uncorrected formation energy: -0.022 eV/atom

=====

Computed values of magnetization (unit: Bohr magnetons per cell) for the preceding records, in sequence: 8.3 8.5 1.5 0.0 3.9 3.0.